DFT (SCAN) results for Li3WCl at its PBEsol-relaxed geometry.

## Properties
Its space group is Pm-3m, No. 221. The formation energy (no corrections) is 1.15 eV per atom.

a = 5.176 Å, b = 5.176 Å, c = 5.176 Å
α = 90.00°, β = 90.00°, γ = 90.00°
Each line ends with the local moment (μB).
Atoms (fractional coordinates):
Li 0.000 0.500 0.000  0.04
Li 0.000 0.000 0.500  0.04
Li 0.500 0.000 0.000  0.04
W 0.000 0.000 0.000  3.30
Cl 0.500 0.500 0.500  0.04